Compound: AlCN3
Source: the Alexandria database
Functional: meta-GGA SCAN
Structure: single point on PBEsol structure

For the density of states at the Fermi level, the calculation gives 3.64 states/eV/f.u. As for the final energy: -6.699 eV per atom. The uncorrected formation energy comes out at 2.4461 eV/atom.

The structure belongs to space group Pm-3m (No. 221); the cell edges are 3.708, 3.708 and 3.708 Å and the angles 90.00°, 90.00° and 90.00°. The distinct sites, in fractional coordinates, are Al at (0.000, 0.000, 0.000), C at (0.500, 0.500, 0.500) and N at (0.000, 0.000, 0.500).



Compound: CaCrPt2
Source: the Alexandria database
Functional: meta-GGA SCAN
Structure: single point on PBEsol structure

For the density of states at the Fermi level, the calculation gives 1.12 states/eV/f.u. The calculated formation energy comes out at -8.2 kcal/mol of atoms. The energy above the most stable polymorph in this dataset is 0.252 eV/atom. As for the final energy: -42.466 eV per atom.

The structure belongs to space group P4mm (No. 99); the cell edges are 3.435, 3.435 and 6.119 Å and the angles 90.00°, 90.00° and 90.00°. The distinct sites, in fractional coordinates, are Ca at (0.000, 0.000, 0.000), Cr at (0.500, 0.500, 0.342), Pt at (0.000, 0.000, 0.487) and Pt at (0.500, 0.500, 0.752).